# Cd3Sn5Au12, relaxed, DFT GGA-PBE
data_Cd3Sn5Au12
_chemical_formula_sum 'Cd24 Sn40 Au96'
_symmetry_space_group_name_H-M 'I a -3 d'
_symmetry_Int_Tables_number 230
_symmetry_space_group_name_Hall '-I 4bd 2c 3'
_cell_length_a 16.042
_cell_length_b 16.042
_cell_length_c 16.042
_cell_angle_alpha 90.00
_cell_angle_beta 90.00
_cell_angle_gamma 90.00
loop_
_atom_site_label
_atom_site_type_symbol
_atom_site_fract_x
_atom_site_fract_y
_atom_site_fract_z
_atom_site_occupancy
Cd1 Cd 0.000 0.250 0.125 1
Sn1 Sn 0.000 0.000 0.000 1
Sn2 Sn 0.000 0.250 0.375 1
Au1 Au 0.008 0.075 0.654 1
# total moment = 0.0 μB per formula unit
# energy relative to the elements = 16 meV/atom